# LaOs2Pt (PBE-GGA, optimized geometry)
# Calculated total energy ... -30.58 eV/f.u.
# Size of the total moment ... 0.000 μB per formula unit
# E above lowest polymorph ... 907.5 meV/atom
data_LaOs2Pt
_chemical_formula_sum 'La2 Os4 Pt2'
_space_group_name_H-M_alt 'C m m m'
_space_group_IT_number 65
_space_group_name_Hall '-C 2 2'
_cell_length_a 3.0650
_cell_length_b 4.7901
_cell_length_c 9.5349
_cell_angle_alpha 90.00
_cell_angle_beta 90.00
_cell_angle_gamma 90.00
loop_
_atom_site_label
_atom_site_fract_x
_atom_site_fract_y
_atom_site_fract_z
La1 0.0000 0.0000 0.0000
Os1 0.0000 0.5000 0.2670
Pt1 0.0000 0.0000 0.5000

=====

# LaOs2Pt (PBE-GGA, optimized geometry)
# Calculated total energy ... -31.99 eV/f.u.
# Size of the total moment ... 0.000 μB per formula unit
# E above lowest polymorph ... 556.0 meV/atom
data_LaOs2Pt
_chemical_formula_sum 'La1 Os2 Pt1'
_space_group_name_H-M_alt 'P 1 2/m 1'
_space_group_IT_number 10
_cell_length_a 2.8922
_cell_length_b 4.8534
_cell_length_c 5.3349
_cell_angle_alpha 90.00
_cell_angle_beta 98.86
_cell_angle_gamma 90.00
loop_
_space_group_symop_operation_xyz
'x,y,z'
'-x,-y,-z'
'-x,y,-z'
'x,-y,z'
loop_
_atom_site_label
_atom_site_fract_x
_atom_site_fract_y
_atom_site_fract_z
La1 0.0000 0.0000 0.0000
Os1 0.3185 0.5000 0.7070
Pt1 0.5000 0.0000 0.5000

=====

# LaOs2Pt (PBE-GGA, optimized geometry)
# Calculated total energy ... -31.56 eV/f.u.
# Size of the total moment ... 0.000 μB per formula unit
# E above lowest polymorph ... 662.5 meV/atom
data_LaOs2Pt
_chemical_formula_sum 'La1 Os2 Pt1'
_space_group_name_H-M_alt 'P 4/m m m'
_space_group_IT_number 123
_space_group_name_Hall '-P 4 2'
_cell_length_a 2.9398
_cell_length_b 2.9398
_cell_length_c 8.3519
_cell_angle_alpha 90.00
_cell_angle_beta 90.00
_cell_angle_gamma 90.00
loop_
_atom_site_label
_atom_site_fract_x
_atom_site_fract_y
_atom_site_fract_z
La1 0.0000 0.0000 0.0000
Os1 0.5000 0.5000 0.2909
Pt1 0.0000 0.0000 0.5000

=====

# La2Os2Pt (PBE-GGA, optimized geometry)
# Calculated total energy ... -39.33 eV/f.u.
# Size of the total moment ... 0.000 μB per formula unit
data_La2Os2Pt
_chemical_formula_sum 'La4 Os4 Pt2'
_space_group_name_H-M_alt 'P 4/m b m'
_space_group_IT_number 127
_space_group_name_Hall '-P 4 2ab'
_cell_length_a 6.9826
_cell_length_b 6.9826
_cell_length_c 4.5673
_cell_angle_alpha 90.00
_cell_angle_beta 90.00
_cell_angle_gamma 90.00
loop_
_atom_site_label
_atom_site_fract_x
_atom_site_fract_y
_atom_site_fract_z
La1 0.1849 0.3151 0.0000
Os1 0.1216 0.6216 0.5000
Pt1 0.0000 0.0000 0.5000

=====

# La4OsPt (PBE-GGA, optimized geometry)
# Calculated total energy ... -32.61 eV/f.u.
# Size of the total moment ... 0.000 μB per formula unit
# E above lowest polymorph ... 1192.1 meV/atom
data_La4OsPt
_chemical_formula_sum 'La16 Os4 Pt4'
_space_group_name_H-M_alt 'F -4 3 m'
_space_group_IT_number 216
_space_group_name_Hall 'F -4 2 3'
_cell_length_a 8.5502
_cell_length_b 8.5502
_cell_length_c 8.5502
_cell_angle_alpha 90.00
_cell_angle_beta 90.00
_cell_angle_gamma 90.00
loop_
_atom_site_label
_atom_site_fract_x
_atom_site_fract_y
_atom_site_fract_z
La1 0.1245 0.1245 0.1245
Os1 0.2500 0.2500 0.7500
Pt1 0.0000 0.0000 0.5000

=====

# LaOs2Pt2 (PBE-GGA, optimized geometry)
# Calculated total energy ... -40.17 eV/f.u.
# Size of the total moment ... 0.000 μB per formula unit
data_LaOs2Pt2
_chemical_formula_sum 'La2 Os4 Pt4'
_space_group_name_H-M_alt 'I 4/m m m'
_space_group_IT_number 139
_space_group_name_Hall '-I 4 2'
_cell_length_a 4.3186
_cell_length_b 4.3186
_cell_length_c 10.6925
_cell_angle_alpha 90.00
_cell_angle_beta 90.00
_cell_angle_gamma 90.00
loop_
_atom_site_label
_atom_site_fract_x
_atom_site_fract_y
_atom_site_fract_z
La1 0.0000 0.0000 0.0000
Os1 0.0000 0.0000 0.3934
Pt1 0.0000 0.5000 0.2500

=====

# LaOs2Pt (PBE-GGA, optimized geometry)
# Calculated total energy ... -32.01 eV/f.u.
# Size of the total moment ... 0.000 μB per formula unit
# E above lowest polymorph ... 549.5 meV/atom
data_LaOs2Pt
_chemical_formula_sum 'La1 Os2 Pt1'
_space_group_name_H-M_alt 'P m m m'
_space_group_IT_number 47
_cell_length_a 2.9668
_cell_length_b 4.9055
_cell_length_c 4.9878
_cell_angle_alpha 90.00
_cell_angle_beta 90.00
_cell_angle_gamma 90.00
loop_
_space_group_symop_operation_xyz
'x,y,z'
'-x,-y,-z'
'-x,-y,z'
'x,y,-z'
'x,-y,-z'
'-x,y,z'
'-x,y,-z'
'x,-y,z'
loop_
_atom_site_label
_atom_site_fract_x
_atom_site_fract_y
_atom_site_fract_z
La1 0.0000 0.0000 0.0000
Os1 0.0000 0.5000 0.5000
Os2 0.5000 0.0000 0.5000
Pt1 0.5000 0.5000 0.0000

=====

# LaOs2Pt (PBE-GGA, optimized geometry)
# Calculated total energy ... -32.03 eV/f.u.
# Size of the total moment ... 0.000 μB per formula unit
# E above lowest polymorph ... 545.6 meV/atom
data_LaOs2Pt
_chemical_formula_sum 'La2 Os4 Pt2'
_space_group_name_H-M_alt 'I -4 m 2'
_space_group_IT_number 119
_space_group_name_Hall 'I -4 -2'
_cell_length_a 4.2326
_cell_length_b 4.2326
_cell_length_c 8.1043
_cell_angle_alpha 90.00
_cell_angle_beta 90.00
_cell_angle_gamma 90.00
loop_
_atom_site_label
_atom_site_fract_x
_atom_site_fract_y
_atom_site_fract_z
La1 0.0000 0.0000 0.0000
Os1 0.0000 0.0000 0.5000
Os2 0.0000 0.5000 0.7500
Pt1 0.0000 0.5000 0.2500

=====

Question: What is the size of the total moment in the seventh record?
Answer: 0.000 μB per formula unit